# 1
{
  "formula": "Cs2IBr6Cl",
  "functional": "PBE-GGA",
  "state": "relaxed",
  "magmom_total_mub_per_atom": 0.000,
  "formation_energy_uncorrected_mev_per_atom": -727,
  "sg": "I4/mmm, No. 139",
  "crystal_system": "tetragonal",
  "lattice": [[8.2544, 0.0000, 0.0000], [0.0000, 8.2544, 0.0000], [4.1272, 4.1272, 5.8191]],
  "species": ["Br", "Br", "Br", "Br", "Br", "Br", "I", "Cs", "Cs", "Cl"],
  "fractional_positions": [[0.2369, 0.2369, 0.0000], [0.7614, 0.7614, 0.4772], [0.2386, 0.2386, 0.5228], [0.7631, 0.7631, 0.0000], [0.7631, 0.2369, 0.0000], [0.2369, 0.7631, 0.0000], [0.0000, 0.0000, 0.0000], [0.2500, 0.7500, 0.5000], [0.7500, 0.2500, 0.5000], [0.5000, 0.5000, 0.0000]]
}

=====

# 2
{
  "formula": "Cs6IBr3Cl2",
  "functional": "PBE-GGA",
  "state": "relaxed",
  "magmom_total_mub_per_atom": 0.024,
  "formation_energy_uncorrected_mev_per_atom": -1799,
  "sg": "C2/m, No. 12",
  "crystal_system": "monoclinic",
  "lattice": [[5.1902, 0.0000, 0.0000], [0.0000, 10.4980, 0.4369], [-2.5951, -2.9584, 10.8948]],
  "species": ["Br", "Br", "Br", "Cs", "Cs", "Cs", "Cs", "Cs", "Cs", "Cl", "Cl", "I"],
  "fractional_positions": [[0.5000, 0.5000, 0.0000], [0.1639, 0.8322, 0.3278], [0.8361, 0.1678, 0.6722], [0.9955, 0.7322, 0.9910], [0.6698, 0.5791, 0.3397], [0.3302, 0.4209, 0.6603], [0.6731, 0.0954, 0.3463], [0.3269, 0.9046, 0.6537], [0.0045, 0.2678, 0.0090], [0.8314, 0.6625, 0.6628], [0.1686, 0.3375, 0.3372], [0.5000, 0.0000, 0.0000]]
}

=====

# 3
{
  "formula": "Cs2InBr6Cl",
  "functional": "PBE-GGA",
  "state": "relaxed",
  "magmom_total_mub_per_atom": 0.000,
  "formation_energy_uncorrected_mev_per_atom": -951,
  "sg": "I4/mmm, No. 139",
  "crystal_system": "tetragonal",
  "lattice": [[7.8662, 0.0000, 0.0000], [0.0000, 7.8662, 0.0000], [3.9331, 3.9331, 6.1620]],
  "species": ["Cl", "Br", "Br", "Br", "Br", "Br", "Br", "In", "Cs", "Cs"],
  "fractional_positions": [[0.5000, 0.5000, 0.0000], [0.2447, 0.2447, 0.0000], [0.7818, 0.7818, 0.4364], [0.7553, 0.7553, 0.0000], [0.2182, 0.2182, 0.5636], [0.7553, 0.2447, 0.0000], [0.2447, 0.7553, 0.0000], [0.0000, 0.0000, 0.0000], [0.7500, 0.2500, 0.5000], [0.2500, 0.7500, 0.5000]]
}

=====

# 4
{
  "formula": "CsIn2Br2Cl",
  "functional": "PBE-GGA",
  "state": "relaxed",
  "magmom_total_mub_per_atom": 0.000,
  "formation_energy_uncorrected_mev_per_atom": -1036,
  "sg": "P2_1/m, No. 11",
  "crystal_system": "monoclinic",
  "lattice": [[-6.2762, 2.6103, -0.3241], [-3.2515, -7.3010, 4.1611], [1.0485, 3.3939, 7.0305]],
  "species": ["Cl", "Cl", "Cs", "Cs", "Br", "Br", "Br", "Br", "In", "In", "In", "In"],
  "fractional_positions": [[0.7500, 0.7240, 0.9918], [0.2500, 0.2760, 0.0082], [0.2500, 0.5832, 0.2501], [0.7500, 0.4168, 0.7499], [0.7500, 0.8176, 0.4986], [0.2500, 0.6482, 0.7277], [0.2500, 0.1824, 0.5014], [0.7500, 0.3518, 0.2723], [0.5000, 0.9148, 0.7892], [0.0000, 0.0852, 0.2108], [0.5000, 0.0852, 0.2108], [0.0000, 0.9148, 0.7892]]
}

=====

# 5
{
  "formula": "CsIn2BrCl2",
  "functional": "PBE-GGA",
  "state": "relaxed",
  "magmom_total_mub_per_atom": 0.000,
  "formation_energy_uncorrected_mev_per_atom": -1088,
  "sg": "P2_1/m, No. 11",
  "crystal_system": "monoclinic",
  "lattice": [[6.7401, 0.0000, 0.0000], [0.0000, 7.6669, 1.0334], [0.0000, -1.3141, 9.1496]],
  "species": ["In", "In", "In", "In", "Br", "Br", "Cs", "Cs", "Cl", "Cl", "Cl", "Cl"],
  "fractional_positions": [[0.9966, 0.2324, 0.1040], [0.0034, 0.7676, 0.8960], [0.4966, 0.7676, 0.8960], [0.5034, 0.2324, 0.1040], [0.2500, 0.0188, 0.7266], [0.7500, 0.9812, 0.2734], [0.2500, 0.7346, 0.4143], [0.7500, 0.2654, 0.5857], [0.7500, 0.7342, 0.6566], [0.7500, 0.4792, 0.2417], [0.2500, 0.5208, 0.7583], [0.2500, 0.2658, 0.3434]]
}

=====

# 6
{
  "formula": "Cs3In2Br2Cl3",
  "functional": "PBE-GGA",
  "state": "relaxed",
  "magmom_total_mub_per_atom": 0.000,
  "formation_energy_uncorrected_mev_per_atom": -1369,
  "sg": "I4/mmm, No. 139",
  "crystal_system": "tetragonal",
  "lattice": [[-3.7880, 0.8304, -3.3987], [3.2032, -1.1913, -3.8612], [-4.6280, -17.1215, 4.8862]],
  "species": ["Br", "Br", "Cs", "Cs", "Cs", "Cl", "Cl", "Cl", "In", "In"],
  "fractional_positions": [[0.2500, 0.7500, 0.5000], [0.7500, 0.2500, 0.5000], [0.0000, 0.0000, 0.0000], [0.4037, 0.4037, 0.8073], [0.5963, 0.5963, 0.1927], [0.0956, 0.0956, 0.1912], [0.9044, 0.9044, 0.8088], [0.5000, 0.5000, 0.0000], [0.7972, 0.7972, 0.5943], [0.2028, 0.2028, 0.4057]]
}

=====

Question: Which formula does entry 5 have?
Answer: CsIn2BrCl2

=====

Question: Which formula does entry 5 have?
Answer: CsIn2BrCl2